Material: La2YMo
Method: DFT, SCAN
State: PBEsol geometry

Cell: 6.5150 10.8340 3.2843 Å, 90.00 119.28 90.00°
Space group C2/m (No. 12)
Asymmetric unit:
La 0.2500 0.2500 0.0000
Y 0.0000 0.0000 0.5000
Mo 0.0000 0.5000 0.5000

Output
E above lowest polymorph = 253.6 meV per atom
Energy of formation from the pure elements = 0.592 eV per atom

=====

Material: Au3C
Method: DFT, SCAN
State: PBEsol geometry

Cell: 3.0574 3.0574 7.3359 Å, 90.00 90.00 120.00°
Space group P-6m2 (No. 187)
Asymmetric unit:
Au 0.0000 0.0000 0.0000
Au 0.6667 0.3333 0.3036
C 0.0000 0.0000 0.5000

Output
E above lowest polymorph = 0.0 meV per atom
Energy of formation from the pure elements = 1.111 eV per atom

=====

Material: Cu2HgSe2
Method: DFT, SCAN
State: PBEsol geometry

Cell: 3.6854 3.6854 14.1238 Å, 90.00 90.00 90.00°
Space group I4/mmm (No. 139)
Asymmetric unit:
Cu 0.0000 0.5000 0.2500
Hg 0.0000 0.0000 0.0000
Se 0.0000 0.0000 0.3619

Output
Uncorrected formation energy = -0.0700 eV/atom

=====

Material: Na2Zn2O3
Method: DFT, SCAN
State: PBEsol geometry

Cell: 5.8070 5.8786 5.9506 Å, 90.00 118.15 90.00°
Space group P2_1/c (No. 14)
Asymmetric unit:
Na 0.1410 0.1559 0.4042
Zn 0.3400 0.6234 0.5782
O 0.0000 0.0000 0.0000
O 0.3593 0.5892 0.2472

Output
Uncorrected formation energy = -1.5767 eV/atom
E above lowest polymorph = 5.9 meV per atom

=====

Material: TaMo2Se
Method: DFT, SCAN
State: PBEsol geometry

Cell: 5.1505 8.8728 2.9621 Å, 90.00 107.66 90.00°
Space group C2/m (No. 12)
Asymmetric unit:
Ta 0.0000 0.0000 0.0000
Mo 0.2500 0.2500 0.5000
Se 0.0000 0.5000 0.0000

Output
Uncorrected formation energy = 0.3241 eV/atom

=====

Material: TlCdPb2
Method: DFT, SCAN
State: PBEsol geometry

Cell: 4.8148 4.8148 9.4215 Å, 90.00 90.00 90.00°
Space group I-4m2 (No. 119)
Asymmetric unit:
Tl 0.0000 0.0000 0.0000
Cd 0.0000 0.5000 0.2500
Pb 0.0000 0.0000 0.5000
Pb 0.0000 0.5000 0.7500

Output
E above lowest polymorph = 25.4 meV per atom
Energy of formation from the pure elements = 0.052 eV per atom

=====

Repeat the sixth record exactly.
Material: TlCdPb2
Method: DFT, SCAN
State: PBEsol geometry

Cell: 4.8148 4.8148 9.4215 Å, 90.00 90.00 90.00°
Space group I-4m2 (No. 119)
Asymmetric unit:
Tl 0.0000 0.0000 0.0000
Cd 0.0000 0.5000 0.2500
Pb 0.0000 0.0000 0.5000
Pb 0.0000 0.5000 0.7500

Output
E above lowest polymorph = 25.4 meV per atom
Energy of formation from the pure elements = 0.052 eV per atom